(1)
BiB2O | PBE-GGA | relaxed

Computed properties:
As for the symmetry: I-42d. For the formation energy without anion corrections, the calculation gives 0.7774 eV/atom. For the distance to the lowest polymorph of the same formula, the calculation gives 0.000 eV per atom. The calculated density comes out at 8.2 g cm⁻³. The total magnetization comes out at 0.0 Bohr magnetons per cell.

The structure in POSCAR format:
```
BiB2O
1.0
-0.711 4.010 1.155
-1.512 0.845 -3.863
-6.260 1.022 0.355
B O Bi
4 2 2
Cartesian
-2.732 2.031 -1.966
-5.811 2.744 -1.468
-2.066 2.121 0.113
-6.360 4.857 -1.384
-1.112 2.427 -1.354
-4.442 2.147 -2.431
0.000 0.000 0.000
-4.042 3.729 0.078
```

(2)
Hf2PdAu2 | PBE-GGA | relaxed

Computed properties:
As for the symmetry: P4/mbm. For the distance to the lowest polymorph of the same formula, the calculation gives 0.229 eV per atom. The energy relative to the elements comes out at -0.237 eV per atom. The calculated density comes out at 14.2 g cm⁻³. The total magnetization comes out at 0.0 Bohr magnetons per cell.

The structure in POSCAR format:
```
Hf2PdAu2
1.0
-1.277 5.297 5.466
-2.575 -5.516 4.745
3.127 -0.453 1.170
Au Hf Pd
4 4 2
Cartesian
-0.234 -3.014 4.309
-0.491 2.342 7.071
-1.478 -1.662 8.158
0.753 0.990 3.222
-2.566 -2.831 5.762
-1.286 2.612 4.448
-1.069 -0.942 2.493
-2.783 0.723 7.717
0.000 0.000 0.000
-1.926 -0.109 5.105
```

(3)
K3PaBi2O8 | PBE-GGA | relaxed

Computed properties:
As for the symmetry: P-3m1. For the formation energy without anion corrections, the calculation gives -1.7698 eV/atom. The calculated density comes out at 5.4 g cm⁻³. The total magnetization comes out at 2.0 Bohr magnetons per cell.

The structure in POSCAR format:
```
K3PaBi2O8
1.0
6.292 0.000 0.000
-3.146 5.449 0.000
0.000 0.000 8.057
O Bi K Pa
8 2 3 1
Cartesian
1.518 0.877 5.310
4.774 0.877 5.310
3.146 3.696 5.310
-1.628 4.572 2.748
0.000 1.753 2.748
3.146 1.816 0.427
0.000 3.633 7.630
1.628 4.572 2.748
3.146 1.816 6.406
0.000 3.633 1.651
0.000 3.633 5.149
3.146 1.816 2.908
0.000 0.000 0.000
0.000 0.000 4.029
```

(4)
Pa7Te | PBE-GGA | relaxed

Computed properties:
As for the symmetry: Fm-3m. For the formation energy without anion corrections, the calculation gives -0.2259 eV/atom. The calculated density comes out at 14.8 g cm⁻³. The total magnetization comes out at 0.0 Bohr magnetons per cell.

The structure in POSCAR format:
```
Pa7Te
1.0
5.649 0.000 3.261
1.883 5.325 3.261
0.000 0.000 6.522
Pa Te
7 1
Cartesian
0.000 0.000 3.261
0.941 2.663 4.892
2.824 0.000 4.892
3.766 2.663 3.261
2.824 0.000 1.631
3.766 2.663 6.522
0.941 2.663 1.631
0.000 0.000 0.000
```

(5)
Cs6Rb5Na5 | PBE-GGA | relaxed

Computed properties:
As for the symmetry: Amm2. The energy relative to the elements comes out at 0.041 eV per atom. The calculated density comes out at 1.7 g cm⁻³. The total magnetization comes out at 0.0 Bohr magnetons per cell.

The structure in POSCAR format:
```
Cs6Rb5Na5
1.0
7.101 -10.673 0.000
7.101 10.673 0.000
0.000 0.000 8.426
Rb Cs Na
5 6 5
Cartesian
10.857 0.000 4.213
7.945 8.434 4.213
7.945 -8.434 4.213
5.210 -7.254 0.000
5.210 7.254 0.000
4.394 -5.337 4.213
3.550 -2.679 0.000
5.802 0.000 4.213
3.550 2.679 0.000
4.394 5.337 4.213
8.617 0.000 0.000
7.980 4.067 6.537
7.980 -4.067 1.889
0.022 0.000 0.000
7.980 4.067 1.889
7.980 -4.067 6.537
```

(6)
Pr2BePtO6 | PBE-GGA | relaxed

Computed properties:
As for the symmetry: P2_1/c. For the formation energy without anion corrections, the calculation gives -2.2630 eV/atom. The calculated density comes out at 8.3 g cm⁻³. The total magnetization comes out at 0.0 Bohr magnetons per cell.

The structure in POSCAR format:
```
Pr2BePtO6
1.0
5.476 0.000 -0.001
0.000 5.497 0.000
0.046 0.000 7.702
O Pr Pt Be
12 4 2 2
Cartesian
1.230 1.132 0.317
1.143 1.227 3.520
5.067 2.812 2.013
0.455 2.685 5.688
3.991 1.617 4.168
3.904 1.521 7.370
3.170 0.064 1.837
4.379 4.270 4.181
1.618 3.975 0.331
4.293 4.365 7.384
1.531 3.880 3.533
2.352 5.433 5.864
5.461 0.238 5.767
2.700 2.510 1.917
0.061 5.258 1.934
2.822 2.986 5.784
2.761 0.000 3.850
0.000 2.748 0.000
0.023 2.748 3.851
2.738 0.000 -0.001
```

(7)
SrSbSI2 | PBE-GGA | relaxed

Computed properties:
As for the symmetry: P4/mmm. For the formation energy without anion corrections, the calculation gives -0.2678 eV/atom. For the distance to the lowest polymorph of the same formula, the calculation gives 0.000 eV per atom. The calculated density comes out at 4.8 g cm⁻³. The total magnetization comes out at 0.0 Bohr magnetons per cell.

The structure in POSCAR format:
```
SrSbSI2
1.0
-3.827 0.206 -4.157
1.313 -5.298 -1.472
-3.747 -1.861 3.357
I Sb Sr S
2 1 1 1
Cartesian
0.656 -2.649 -0.736
-1.913 0.103 -2.078
-1.873 -0.930 1.679
-3.130 -3.476 -1.135
0.000 0.000 0.000
```

(8)
Ga3Ni20P6 | PBE-GGA | relaxed

Computed properties:
As for the symmetry: Fm-3m. The energy relative to the elements comes out at -0.418 eV per atom. The calculated density comes out at 7.7 g cm⁻³. The total magnetization comes out at 0.0 Bohr magnetons per cell.

The structure in POSCAR format:
```
Ga3Ni20P6
1.0
-3.071 6.859 2.168
0.229 2.190 7.505
4.686 5.855 2.224
Ni P Ga
20 6 3
Cartesian
1.034 8.195 3.757
1.145 9.254 7.387
3.153 4.595 4.040
-0.906 3.796 5.670
2.018 6.200 2.205
2.630 5.937 6.339
1.762 3.451 5.689
0.079 0.753 2.581
0.810 6.710 8.140
0.699 5.650 4.510
-1.121 6.423 6.311
-1.056 2.359 0.745
-2.015 4.501 1.422
-0.786 8.968 5.558
0.150 1.437 4.925
2.965 8.482 5.586
-0.404 6.514 2.187
1.611 2.013 0.765
-1.936 5.254 4.003
3.074 3.841 1.459
1.240 9.867 5.234
-0.805 8.185 7.657
-0.910 7.180 4.214
2.754 7.724 7.683
2.649 6.719 4.240
0.604 5.038 6.663
1.383 11.178 8.923
0.000 0.000 0.000
0.461 3.726 2.974
```

Number 1: E -4.771 eV per atom. Number 2: E -6.568 eV per atom. Number 3: E -6.071 eV per atom. Number 4: E -8.928 eV per atom. Number 5: E -0.993 eV per atom. Number 6: E -7.170 eV per atom. Number 7: E -2.874 eV per atom. Number 8: E -5.837 eV per atom.